Entry 1:
Tb3ThIn3 PBE optimized geometry; SG = P6_3/m (176); ΔE_f = -16 kJ/mol of atoms; energy = -4.379 eV per atom
1.0
5.569 0.000 0.000
0.000 9.093 0.000
0.000 -4.546 7.875
In Th Tb
6 2 6
direct
0.750 0.187 0.231 In
0.750 0.044 0.813 In
0.250 0.231 0.044 In
0.750 0.769 0.956 In
0.250 0.956 0.187 In
0.250 0.813 0.769 In
0.250 0.667 0.333 Th
0.750 0.333 0.667 Th
0.250 0.548 0.906 Tb
0.250 0.094 0.641 Tb
0.750 0.452 0.094 Tb
0.750 0.641 0.548 Tb
0.250 0.359 0.452 Tb
0.750 0.906 0.359 Tb


Entry 2:
TbTh2In PBE optimized geometry; SG = P2_1/m (11); polymorph energy (0 for the lowest one) = 127 meV/atom; ΔE_f = -6 kJ/mol of atoms; energy = -5.617 eV per atom
1.0
5.750 0.000 0.000
0.000 6.053 -0.351
0.000 0.477 6.868
Th Tb In
4 2 2
direct
0.750 0.898 0.109 Th
0.250 0.592 0.134 Th
0.750 0.408 0.866 Th
0.250 0.102 0.891 Th
0.250 0.613 0.629 Tb
0.750 0.387 0.371 Tb
0.750 0.904 0.611 In
0.250 0.096 0.389 In


Entry 3:
TbTh2In PBE optimized geometry; SG = P4/mmm (123); polymorph energy (0 for the lowest one) = 137 meV/atom; ΔE_f = -5 kJ/mol of atoms; energy = -5.607 eV per atom
1.0
3.492 0.000 0.000
0.000 3.492 0.000
0.000 0.000 10.102
In Tb Th
1 1 2
direct
0.500 0.500 0.000 In
0.500 0.500 0.500 Tb
0.000 0.000 0.235 Th
0.000 0.000 0.765 Th